Arrangement P

Density functional theory data (PBE-GGA) for an optimized crystal structure of CaInBi.

It has space group P-6m2 (No. 187), with a = 5.4775 Å, b = 5.4775 Å, c = 3.5291 Å, α = 90.00°, β = 90.00° and γ = 120.00°. Symmetry generates all atoms from Ca at (0.0000, 0.0000, 0.0000), In at (0.6667, 0.3333, 0.5000) and Bi at (0.3333, 0.6667, 0.5000).

---

Arrangement Q

Density functional theory data (PBE-GGA) for an optimized crystal structure of CaInBi.

It has space group Pnma (No. 62), with a = 9.016 Å, b = 4.510 Å, c = 9.434 Å, α = 90.00°, β = 90.00° and γ = 90.00°. Symmetry generates all atoms from Ca at (0.079, 0.250, 0.184), In at (0.106, 0.250, 0.540) and Bi at (0.199, 0.250, 0.848).

---

Arrangement R

Density functional theory data (PBE-GGA) for an optimized crystal structure of CaInBi.

It has space group P2_1/c (No. 14), with a = 8.577 Å, b = 6.610 Å, c = 6.646 Å, α = 90.00°, β = 104.53° and γ = 90.00°. Symmetry generates all atoms from Ca at (0.196, 0.000, 0.403), In at (0.500, 0.218, 0.217) and Bi at (0.180, 0.501, 0.404).

---

Of them, arrangement P has the lowest stability.

---

Arrangement P

Density functional theory data (PBE-GGA) for an optimized crystal structure of CaInBi3.

It has space group P2_1/m (No. 11), with a = 6.209 Å, b = 6.701 Å, c = 8.047 Å, α = 90.00°, β = 103.86° and γ = 90.00°. Symmetry generates all atoms from Ca at (0.241, 0.250, 0.399), In at (0.393, 0.250, 0.834), Bi at (0.000, 0.000, 0.000), Bi at (0.186, 0.750, 0.377) and Bi at (0.316, 0.750, 0.792).

---

Arrangement Q

Density functional theory data (PBE-GGA) for an optimized crystal structure of CaInBi3.

It has space group Pm-3m (No. 221), with a = 5.876 Å, b = 5.876 Å, c = 5.876 Å, α = 90.00°, β = 90.00° and γ = 90.00°. Symmetry generates all atoms from Ca at (0.000, 0.000, 0.000), In at (0.500, 0.500, 0.500) and Bi at (0.000, 0.000, 0.500).

---

Of them, arrangement Q has the lowest stability.

---

Arrangement P

Density functional theory data (PBE-GGA) for an optimized crystal structure of Ca2InBi4.

It has space group I4/mmm (No. 139), with a = 7.505 Å, b = 7.505 Å, c = 8.943 Å, α = 90.00°, β = 90.00° and γ = 90.00°. Symmetry generates all atoms from Ca at (0.000, 0.500, 0.250), In at (0.000, 0.000, 0.000) and Bi at (0.216, 0.216, 0.500).

---

Arrangement Q

Density functional theory data (PBE-GGA) for an optimized crystal structure of Ca2InBi4.

It has space group C2/m (No. 12), with a = 9.771 Å, b = 9.565 Å, c = 6.890 Å, α = 90.00°, β = 134.64° and γ = 90.00°. Symmetry generates all atoms from Ca at (0.250, 0.250, 0.000), In at (0.000, 0.000, 0.000), Bi at (0.000, 0.000, 0.500), Bi at (0.000, 0.500, 0.500) and Bi at (0.250, 0.250, 0.500).

---

Of them, arrangement P has the lowest stability.

---

Arrangement P

Density functional theory data (PBE-GGA) for an optimized crystal structure of Ca5InBi4.

It has space group Immm (No. 71), with a = 4.778 Å, b = 10.383 Å, c = 13.210 Å, α = 90.00°, β = 90.00° and γ = 90.00°. Symmetry generates all atoms from Ca at (0.000, 0.000, 0.000), Ca at (0.000, 0.319, 0.151), In at (0.000, 0.000, 0.500), Bi at (0.000, 0.000, 0.254) and Bi at (0.000, 0.295, 0.500).

---

Arrangement Q

Density functional theory data (PBE-GGA) for an optimized crystal structure of Ca5InBi4.

It has space group C2/m (No. 12), with a = 16.736 Å, b = 5.494 Å, c = 7.730 Å, α = 90.00°, β = 91.82° and γ = 90.00°. Symmetry generates all atoms from Ca at (0.000, 0.000, 0.000), Ca at (0.153, 0.500, 0.493), Ca at (0.165, 0.500, 0.022), In at (0.000, 0.000, 0.500), Bi at (0.011, 0.500, 0.766) and Bi at (0.187, 0.000, 0.251).

---

Of them, arrangement Q has the lowest stability.

---

Arrangement P

Density functional theory data (PBE-GGA) for an optimized crystal structure of Ca3In2Bi4.

It has space group Pnnm (No. 58), with a = 7.073 Å, b = 17.287 Å, c = 4.919 Å, α = 90.00°, β = 90.00° and γ = 90.00°. Symmetry generates all atoms from Ca at (0.000, 0.000, 0.000), Ca at (0.193, 0.306, 0.500), In at (0.147, 0.590, 0.000), Bi at (0.205, 0.177, 0.000) and Bi at (0.227, 0.923, 0.500).

---

Arrangement Q

Density functional theory data (PBE-GGA) for an optimized crystal structure of Ca3In2Bi4.

It has space group C2/c (No. 15), with a = 14.866 Å, b = 11.613 Å, c = 7.144 Å, α = 90.00°, β = 94.48° and γ = 90.00°. Symmetry generates all atoms from Ca at (0.000, 0.097, 0.250), Ca at (0.132, 0.380, 0.957), In at (0.205, 0.132, 0.567), Bi at (0.091, 0.342, 0.435) and Bi at (0.148, 0.101, 0.948).

---

Of them, arrangement Q has the lowest stability.

---

Arrangement P

Density functional theory data (PBE-GGA) for an optimized crystal structure of CaInReBi2.

It has space group P4/mmm (No. 123), with a = 5.420 Å, b = 5.420 Å, c = 5.280 Å, α = 90.00°, β = 90.00° and γ = 90.00°. Symmetry generates all atoms from Ca at (0.000, 0.000, 0.000), In at (0.500, 0.500, 0.000), Re at (0.500, 0.500, 0.500) and Bi at (0.000, 0.500, 0.500).

---

Arrangement Q

Density functional theory data (PBE-GGA) for an optimized crystal structure of CaInReBi2.

It has space group P4/mmm (No. 123), with a = 5.324 Å, b = 5.324 Å, c = 5.701 Å, α = 90.00°, β = 90.00° and γ = 90.00°. Symmetry generates all atoms from Ca at (0.000, 0.000, 0.000), In at (0.500, 0.500, 0.000), Re at (0.000, 0.000, 0.500) and Bi at (0.000, 0.500, 0.500).

---

Of them, arrangement Q has the lowest stability.